## Li7Mn2Co3O12 (PBE with a Hubbard U)

Data for Li7Mn2Co3O12 after structural relaxation.

Cell: 5.0044 5.1035 8.7195 Å, 106.39 90.19 99.73°
Fractional positions:
O: 0.6275 0.7864 0.3033
O: 0.8800 0.2306 0.1953
O: 0.3648 0.2239 0.3794
O: 0.1352 0.7783 0.4707
O: 0.1067 0.7752 0.7959
O: 0.6357 0.7771 0.6190
O: 0.6449 0.7630 0.9668
O: 0.3625 0.2284 0.0480
O: 0.8952 0.2203 0.8708
O: 0.1213 0.7685 0.1209
O: 0.3629 0.2259 0.6957
O: 0.8601 0.2237 0.5451
Li: 0.7454 0.5023 0.7544
Li: 0.5011 0.9962 0.8307
Li: 0.2598 0.4921 0.9114
Li: 0.2499 0.5099 0.5950
Li: 0.7482 0.5054 0.4207
Li: 0.2478 0.5022 0.2467
Li: 0.7548 0.4881 0.0712
Co: 0.4985 0.0010 0.1553
Co: 0.0017 0.0032 0.3321
Co: 0.9990 0.0003 0.6694
Mn: 0.4985 0.0031 0.5103
Mn: 0.9984 0.9949 0.9918

space-group type = P1, No. 1
magnetic moment = 13.9 μB per formula unit
uncorrected energy = -5.88 eV per atom